YFeCo2 | GGA-PBE | optimized geometry

Cell lengths 2.989, 2.989, 24.712 Å; angles 90.00, 90.00, 120.00 degrees
Fractional coordinates of all 12 atoms:
1 Y 0.000 0.000 0.000
2 Y 0.333 0.667 0.667
3 Y 0.667 0.333 0.333
4 Fe 0.000 0.000 0.233
5 Fe 0.333 0.667 0.899
6 Fe 0.667 0.333 0.566
7 Co 0.000 0.000 0.497
8 Co 0.000 0.000 0.761
9 Co 0.333 0.667 0.164
10 Co 0.333 0.667 0.428
11 Co 0.667 0.333 0.095
12 Co 0.667 0.333 0.831

Computed properties:
- crystal system = trigonal
- calculated formation energy (eV/atom) = 0.565
- distance to the lowest polymorph of the same formula (eV/atom) = 0.6371
- calculated total energy (eV per atom) = -6.720



YFeCo | GGA-PBE | optimized geometry

Cell lengths 3.185, 3.185, 10.061 Å; angles 90.00, 90.00, 90.00 degrees
Fractional coordinates of all 6 atoms:
1 Y 0.000 0.000 0.000
2 Y 0.500 0.500 0.500
3 Fe 0.000 0.000 0.702
4 Fe 0.500 0.500 0.202
5 Co 0.000 0.000 0.303
6 Co 0.500 0.500 0.803

Computed properties:
- crystal system = tetragonal
- calculated formation energy (eV/atom) = 0.115
- calculated total energy (eV per atom) = -7.229



YFeCo2 | GGA-PBE | optimized geometry

Cell lengths 4.293, 4.293, 3.249 Å; angles 90.00, 90.00, 90.00 degrees
Fractional coordinates of all 4 atoms:
1 Y 0.000 0.000 0.000
2 Fe 0.500 0.500 0.000
3 Co 0.000 0.500 0.500
4 Co 0.500 0.000 0.500

Computed properties:
- crystal system = tetragonal
- calculated formation energy (eV/atom) = 0.142
- distance to the lowest polymorph of the same formula (eV/atom) = 0.2143
- calculated total energy (eV per atom) = -7.143



YFeCo2 | GGA-PBE | optimized geometry

Cell lengths 3.087, 3.087, 6.455 Å; angles 90.00, 90.00, 90.00 degrees
Fractional coordinates of all 4 atoms:
1 Y 0.000 0.000 0.000
2 Fe 0.500 0.500 0.685
3 Co 0.000 0.000 0.493
4 Co 0.500 0.500 0.318

Computed properties:
- crystal system = tetragonal
- calculated formation energy (eV/atom) = 0.174
- distance to the lowest polymorph of the same formula (eV/atom) = 0.2458
- calculated total energy (eV per atom) = -7.111



YFeCo2 | GGA-PBE | optimized geometry

Cell lengths 6.951, 4.012, 5.281 Å; angles 90.00, 115.89, 90.00 degrees
Fractional coordinates of all 8 atoms:
1 Y 0.000 0.000 0.000
2 Y 0.500 0.500 0.000
3 Fe 0.000 0.500 0.500
4 Fe 0.500 0.000 0.500
5 Co 0.195 0.000 0.585
6 Co 0.305 0.500 0.415
7 Co 0.695 0.500 0.585
8 Co 0.805 0.000 0.415

Computed properties:
- crystal system = monoclinic
- calculated formation energy (eV/atom) = -0.072
- distance to the lowest polymorph of the same formula (eV/atom) = 0.0000
- calculated total energy (eV per atom) = -7.357



YFeCo | GGA-PBE | optimized geometry

Cell lengths 3.859, 3.859, 4.110 Å; angles 90.00, 90.00, 120.00 degrees
Fractional coordinates of all 3 atoms:
1 Y 0.000 0.000 0.000
2 Fe 0.333 0.667 0.500
3 Co 0.667 0.333 0.500

Computed properties:
- crystal system = hexagonal
- calculated formation energy (eV/atom) = -0.103
- calculated total energy (eV per atom) = -7.447



YFe2Co9 | GGA-PBE | optimized geometry

Cell lengths 8.018, 8.018, 4.683 Å; angles 90.00, 90.00, 90.00 degrees
Fractional coordinates of all 24 atoms:
1 Y 0.000 0.000 0.000
2 Y 0.500 0.500 0.000
3 Fe 0.115 0.385 0.000
4 Fe 0.385 0.885 0.000
5 Fe 0.615 0.115 0.000
6 Fe 0.885 0.615 0.000
7 Co 0.000 0.500 0.500
8 Co 0.065 0.214 0.500
9 Co 0.179 0.679 0.235
10 Co 0.179 0.679 0.765
11 Co 0.214 0.935 0.500
12 Co 0.286 0.435 0.500
13 Co 0.321 0.179 0.235
14 Co 0.321 0.179 0.765
15 Co 0.435 0.714 0.500
16 Co 0.500 0.000 0.500
17 Co 0.565 0.286 0.500
18 Co 0.679 0.821 0.235
19 Co 0.679 0.821 0.765
20 Co 0.714 0.565 0.500
21 Co 0.786 0.065 0.500
22 Co 0.821 0.321 0.235
23 Co 0.821 0.321 0.765
24 Co 0.935 0.786 0.500

Computed properties:
- crystal system = tetragonal
- calculated formation energy (eV/atom) = -0.076
- calculated total energy (eV per atom) = -7.355



YFe12Co6 | GGA-PBE | optimized geometry

Cell lengths 6.591, 6.591, 6.591 Å; angles 103.98, 103.98, 103.98 degrees
Fractional coordinates of all 19 atoms:
1 Y 0.000 0.000 0.000
2 Fe 0.115 0.500 0.885
3 Fe 0.115 0.885 0.500
4 Fe 0.128 0.396 0.396
5 Fe 0.396 0.128 0.396
6 Fe 0.396 0.396 0.128
7 Fe 0.500 0.115 0.885
8 Fe 0.500 0.885 0.115
9 Fe 0.604 0.604 0.872
10 Fe 0.604 0.872 0.604
11 Fe 0.872 0.604 0.604
12 Fe 0.885 0.115 0.500
13 Fe 0.885 0.500 0.115
14 Co 0.286 0.286 0.702
15 Co 0.286 0.702 0.286
16 Co 0.298 0.714 0.714
17 Co 0.702 0.286 0.286
18 Co 0.714 0.298 0.714
19 Co 0.714 0.714 0.298

Computed properties:
- crystal system = trigonal
- calculated formation energy (eV/atom) = 0.255
- calculated total energy (eV per atom) = -7.674



YFe7Co5 | GGA-PBE | optimized geometry

Cell lengths 6.362, 6.362, 6.362 Å; angles 136.22, 97.80, 98.17 degrees
Fractional coordinates of all 13 atoms:
1 Y 0.000 0.000 0.000
2 Fe 0.226 0.501 0.725
3 Fe 0.357 0.357 0.000
4 Fe 0.358 0.999 0.358
5 Fe 0.641 0.641 0.000
6 Fe 0.641 0.999 0.642
7 Fe 0.771 0.271 0.500
8 Fe 0.776 0.501 0.275
9 Co 0.001 0.001 0.500
10 Co 0.001 0.500 0.000
11 Co 0.227 0.727 0.500
12 Co 0.500 0.001 0.000
13 Co 0.500 0.500 0.500

Computed properties:
- crystal system = orthorhombic
- calculated formation energy (eV/atom) = -0.076
- calculated total energy (eV per atom) = -7.863



YFeCo2 | GGA-PBE | optimized geometry

Cell lengths 6.226, 6.226, 6.226 Å; angles 90.00, 90.00, 90.00 degrees
Fractional coordinates of all 16 atoms:
1 Y 0.000 0.000 0.000
2 Y 0.000 0.500 0.500
3 Y 0.500 0.000 0.500
4 Y 0.500 0.500 0.000
5 Fe 0.000 0.000 0.500
6 Fe 0.000 0.500 0.000
7 Fe 0.500 0.000 0.000
8 Fe 0.500 0.500 0.500
9 Co 0.250 0.250 0.250
10 Co 0.250 0.250 0.750
11 Co 0.250 0.750 0.250
12 Co 0.250 0.750 0.750
13 Co 0.750 0.250 0.250
14 Co 0.750 0.250 0.750
15 Co 0.750 0.750 0.250
16 Co 0.750 0.750 0.750

Computed properties:
- crystal system = cubic
- calculated formation energy (eV/atom) = 0.109
- distance to the lowest polymorph of the same formula (eV/atom) = 0.1812
- calculated total energy (eV per atom) = -7.176



YFeCo | GGA-PBE | optimized geometry

Cell lengths 5.108, 5.258, 7.129 Å; angles 90.00, 90.00, 90.00 degrees
Fractional coordinates of all 12 atoms:
1 Y 0.000 0.250 0.126
2 Y 0.000 0.750 0.874
3 Y 0.500 0.250 0.374
4 Y 0.500 0.750 0.626
5 Fe 0.250 0.250 0.750
6 Fe 0.250 0.750 0.250
7 Fe 0.750 0.250 0.750
8 Fe 0.750 0.750 0.250
9 Co 0.000 0.000 0.500
10 Co 0.000 0.500 0.500
11 Co 0.500 0.000 0.000
12 Co 0.500 0.500 0.000

Computed properties:
- crystal system = orthorhombic
- calculated formation energy (eV/atom) = -0.148
- calculated total energy (eV per atom) = -7.492



Y2Fe2Co15 | GGA-PBE | optimized geometry

Cell lengths 6.274, 6.274, 6.274 Å; angles 83.12, 83.12, 83.12 degrees
Fractional coordinates of all 19 atoms:
1 Y 0.155 0.155 0.155
2 Y 0.845 0.845 0.845
3 Fe 0.402 0.402 0.402
4 Fe 0.598 0.598 0.598
5 Co 0.000 0.500 0.500
6 Co 0.154 0.154 0.651
7 Co 0.154 0.651 0.154
8 Co 0.211 0.500 0.789
9 Co 0.211 0.789 0.500
10 Co 0.349 0.846 0.846
11 Co 0.500 0.000 0.500
12 Co 0.500 0.211 0.789
13 Co 0.500 0.500 0.000
14 Co 0.500 0.789 0.211
15 Co 0.651 0.154 0.154
16 Co 0.789 0.211 0.500
17 Co 0.789 0.500 0.211
18 Co 0.846 0.349 0.846
19 Co 0.846 0.846 0.349

Computed properties:
- crystal system = trigonal
- calculated formation energy (eV/atom) = -0.110
- calculated total energy (eV per atom) = -7.291